Here is an optimized crystal structure of Mn3VO6 from Alexandria via LeMat-Bulk. Energies are from PBE with a Hubbard U.

The structure in CIF format:
```
data_Mn3VO6
_chemical_formula_sum 'Mn12 V4 O24'
_symmetry_space_group_name_H-M 'C m c 21'
_symmetry_Int_Tables_number 36
_cell_length_a 8.667
_cell_length_b 10.286
_cell_length_c 5.475
_cell_angle_alpha 90.00
_cell_angle_beta 90.00
_cell_angle_gamma 90.00
loop_
_symmetry_equiv_pos_as_xyz
'x,y,z'
'-x,-y,z+1/2'
'-x,y,z'
'x,-y,z+1/2'
'x+1/2,y+1/2,z'
'-x+1/2,-y+1/2,z+1/2'
'-x+1/2,y+1/2,z'
'x+1/2,-y+1/2,z+1/2'
loop_
_atom_site_label
_atom_site_type_symbol
_atom_site_fract_x
_atom_site_fract_y
_atom_site_fract_z
Mn1 Mn 0.000 0.049 0.000
Mn2 Mn 0.203 0.378 0.949
V1 V 0.000 0.332 0.431
O1 O 0.000 0.264 0.132
O2 O 0.000 0.500 0.391
O3 O 0.152 0.008 0.744
O4 O 0.163 0.282 0.590
```

Calculated values
The energy above the most stable polymorph in this dataset comes out at 0 meV/atom. As for the calculated total energy: -308.0 eV per cell.